Below is a relaxed structure of Cu3As, with properties calculated at the PBE level.

* total energy: -4.19 eV per atom
* DOS(E_F): 0.34 states/eV per atom
* energy of formation: 0.0426 eV/atom
* total magnetic moment: 0.000 μB per atom
* ρ: 8.3 g/cm3

Lattice parameters (Å, degrees): 5.317 5.317 4.338 90.00 90.00 120.00
Sites, in units of the cell vectors:
Cu: 0.162 0.325 0.250
Cu: 0.162 0.838 0.250
Cu: 0.325 0.162 0.750
Cu: 0.675 0.838 0.250
Cu: 0.838 0.162 0.750
Cu: 0.838 0.675 0.750
As: 0.333 0.667 0.750
As: 0.667 0.333 0.250